Compound: Co2Ni2Mo
Source: the Alexandria database
Functional: PBE
Structure: optimized geometry

The structure in POSCAR format:
```
Co2Ni2Mo
1.0
-1.552 0.816 1.811
2.814 -3.138 2.072
3.166 4.996 0.461
Co Ni Mo
2 2 1
Direct
0.085 0.670 0.672 Co
0.915 0.330 0.328 Co
0.811 0.123 0.681 Ni
0.189 0.877 0.319 Ni
0.500 0.500 0.000 Mo
```

Calculated values
- ΔE_f: 2.021 eV per formula unit

Compound: Zn5Ir4
Source: the Alexandria database
Functional: PBE
Structure: optimized geometry

The structure in POSCAR format:
```
Zn5Ir4
1.0
-2.365 -4.609 5.489
5.025 -3.610 4.323
-0.012 4.013 3.364
Zn Ir
10 8
Direct
0.313 0.000 0.750 Zn
0.313 0.687 0.250 Zn
0.333 0.333 0.500 Zn
0.000 0.313 0.250 Zn
0.667 0.667 0.500 Zn
0.687 0.313 0.750 Zn
0.667 0.667 0.000 Zn
0.333 0.333 0.000 Zn
0.000 0.687 0.750 Zn
0.687 0.000 0.250 Zn
0.647 0.000 0.750 Ir
0.647 0.353 0.250 Ir
0.353 0.647 0.750 Ir
0.000 0.647 0.250 Ir
0.000 0.353 0.750 Ir
0.000 0.000 0.000 Ir
0.353 0.000 0.250 Ir
0.000 0.000 0.500 Ir
```

Calculated values
- ΔE_f: -0.404 eV per formula unit

Compound: PdF4
Source: the Alexandria database
Functional: PBE
Structure: optimized geometry

The structure in POSCAR format:
```
PdF4
1.0
-1.232 1.682 -4.381
-5.253 -1.419 0.932
-3.401 3.982 2.463
F Pd
8 2
Direct
0.750 0.326 0.841 F
0.221 0.646 0.692 F
0.249 0.174 0.159 F
0.281 0.146 0.692 F
0.719 0.854 0.308 F
0.779 0.354 0.308 F
0.751 0.826 0.841 F
0.250 0.674 0.159 F
0.500 0.000 0.000 Pd
0.000 0.500 0.000 Pd
```

Number 1: energy above the lowest structure with this stoichiometry 244.0 meV/atom, size of the total moment 3.304 μB per formula unit. Number 2: energy above the lowest structure with this stoichiometry 76.7 meV/atom, size of the total moment 0.000 μB per formula unit. Number 3: energy above the lowest structure with this stoichiometry 53.4 meV/atom, size of the total moment 0.361 μB per formula unit.